DFT (PBE) results for crystalline LaYCrGe2 at its relaxed geometry.

- Offset from the most stable computed form: 0.000 eV/f.u.
- Formation energy: 0.009 eV per atom
- Total magnetic moment: 0.01 μB/atom
- DFT total energy: -6.04 eV per atom

a b c (Å): 4.835 4.835 4.914
angles (deg): 90.00 90.00 90.00
Atoms (fractional coordinates):
La1 0.000 0.000 0.000
Y1 0.500 0.500 0.000
Cr1 0.000 0.000 0.500
Ge1 0.000 0.500 0.500
Ge2 0.500 0.000 0.500